[1]
## LaY2CoAg (GGA-PBE)

Data for a relaxed LaY2CoAg crystal.

Cell lengths 5.251, 5.251, 5.201 Å; angles 90.00, 90.00, 90.00 degrees
Space group P4/mmm (No. 123)
Asymmetric unit:
La 0.000 0.000 0.000 (multiplicity 1)
Y 0.000 0.500 0.500 (multiplicity 2)
Co 0.000 0.000 0.500 (multiplicity 1)
Ag 0.500 0.500 0.000 (multiplicity 1)

## Properties
V in Å³ per atom: 28.68
Formation energy in kJ per mole of atoms: -4.81
Fermi-level density of states in states/eV per atom: 0.936



[2]
## In2SbP (GGA-PBE)

Data for a relaxed In2SbP crystal.

Cell lengths 3.705, 5.904, 9.326 Å; angles 90.00, 90.00, 90.00 degrees
Space group Cmm2 (No. 35)
Asymmetric unit:
In 0.000 0.000 0.000 (multiplicity 2)
In 0.000 0.500 0.282 (multiplicity 2)
Sb 0.000 0.000 0.577 (multiplicity 2)
P 0.000 0.500 0.780 (multiplicity 2)

## Properties
Formation energy from raw total energies in meV/atom: 264
E above lowest polymorph in eV/atom: 0.407
V in Å³ per atom: 25.50
Fermi-level density of states in states/eV per atom: 0.613



[3]
## CdIn5Ga4 (GGA-PBE)

Data for a relaxed CdIn5Ga4 crystal.

Cell lengths 3.310, 3.310, 21.464 Å; angles 90.00, 90.00, 90.00 degrees
Space group P4/mmm (No. 123)
Asymmetric unit:
Cd 0.000 0.000 0.000 (multiplicity 1)
In 0.500 0.500 0.107 (multiplicity 2)
In 0.500 0.500 0.304 (multiplicity 2)
In 0.500 0.500 0.500 (multiplicity 1)
Ga 0.000 0.000 0.206 (multiplicity 2)
Ga 0.000 0.000 0.403 (multiplicity 2)

## Properties
V in Å³ per atom: 23.51
Formation energy in kJ per mole of atoms: 3.69
Fermi-level density of states in states/eV per atom: 0.286



[4]
## SrCr3Se (GGA-PBE)

Data for a relaxed SrCr3Se crystal.

Cell lengths 5.010, 5.010, 5.010 Å; angles 90.00, 90.00, 90.00 degrees
Space group Pm-3m (No. 221)
Asymmetric unit:
Sr 0.000 0.000 0.000 (multiplicity 1)
Cr 0.000 0.500 0.500 (multiplicity 3)
Se 0.500 0.500 0.500 (multiplicity 1)

## Properties
Formation energy from raw total energies in meV/atom: 652
E above lowest polymorph in eV/atom: 0.000
V in Å³ per atom: 25.14
Fermi-level density of states in states/eV per atom: 0.409



[5]
## TaCo2PtBr (GGA-PBE)

Data for a relaxed TaCo2PtBr crystal.

Cell lengths 4.559, 4.559, 4.842 Å; angles 90.00, 90.00, 90.00 degrees
Space group P4/mmm (No. 123)
Asymmetric unit:
Ta 0.000 0.000 0.000 (multiplicity 1)
Co 0.000 0.500 0.000 (multiplicity 2)
Pt 0.500 0.500 0.500 (multiplicity 1)
Br 0.000 0.000 0.500 (multiplicity 1)

## Properties
Formation energy from raw total energies in meV/atom: 1437
V in Å³ per atom: 20.13
Fermi-level density of states in states/eV per atom: 1.049



[6]
## Pu5PtAu (GGA-PBE)

Data for a relaxed Pu5PtAu crystal.

Cell lengths 5.025, 5.025, 6.698 Å; angles 90.00, 90.00, 90.00 degrees
Space group P4/mmm (No. 123)
Asymmetric unit:
Pu 0.000 0.000 0.000 (multiplicity 1)
Pu 0.000 0.500 0.263 (multiplicity 4)
Pt 0.000 0.000 0.500 (multiplicity 1)
Au 0.500 0.500 0.000 (multiplicity 1)

## Properties
V in Å³ per atom: 24.17
Formation energy in kJ per mole of atoms: -15.92
Fermi-level density of states in states/eV per atom: 4.523



[7]
## TiCdAg2S4 (GGA-PBE)

Data for a relaxed TiCdAg2S4 crystal.

Cell lengths 5.735, 5.735, 11.563 Å; angles 90.00, 90.00, 90.00 degrees
Space group I-42m (No. 121)
Asymmetric unit:
Ti 0.000 0.000 0.000 (multiplicity 2)
Cd 0.000 0.000 0.500 (multiplicity 2)
Ag 0.000 0.500 0.250 (multiplicity 4)
S 0.229 0.229 0.884 (multiplicity 8)

## Properties
Formation energy from raw total energies in meV/atom: -631
V in Å³ per atom: 23.77



[8]
## Ac6Rh2AuS3 (GGA-PBE)

Data for a relaxed Ac6Rh2AuS3 crystal.

Cell lengths 7.440, 12.900, 8.000 Å; angles 90.00, 108.15, 90.00 degrees
Space group C2/m (No. 12)
Asymmetric unit:
Ac 0.230 0.000 0.239 (multiplicity 4)
Ac 0.246 0.175 0.763 (multiplicity 8)
Rh 0.000 0.166 0.000 (multiplicity 4)
Au 0.000 0.500 0.000 (multiplicity 2)
S 0.000 0.000 0.500 (multiplicity 2)
S 0.000 0.335 0.500 (multiplicity 4)

## Properties
Formation energy from raw total energies in meV/atom: -1317
V in Å³ per atom: 30.40
Fermi-level density of states in states/eV per atom: 0.485



[9]
## Be7Co (GGA-PBE)

Data for a relaxed Be7Co crystal.

Cell lengths 6.411, 6.411, 6.411 Å; angles 90.00, 90.00, 90.00 degrees
Space group Fm-3m (No. 225)
Asymmetric unit:
Be 0.000 0.000 0.000 (multiplicity 4)
Be 0.000 0.250 0.250 (multiplicity 24)
Co 0.000 0.000 0.500 (multiplicity 4)

## Properties
V in Å³ per atom: 8.23
Formation energy in kJ per mole of atoms: -8.12
Fermi-level density of states in states/eV per atom: 0.446



[10]
## HoGe4Rh4 (GGA-PBE)

Data for a relaxed HoGe4Rh4 crystal.

Cell lengths 6.134, 6.134, 8.174 Å; angles 90.00, 90.00, 90.00 degrees
Space group P4_2/nmc (No. 137, origin choice 2)
Asymmetric unit:
Ho 0.250 0.750 0.250 (multiplicity 2)
Ge 0.038 0.250 0.069 (multiplicity 8)
Rh 0.021 0.250 0.370 (multiplicity 8)

## Properties
V in Å³ per atom: 17.09
Formation energy in kJ per mole of atoms: -55.01
Fermi-level density of states in states/eV per atom: 0.607



[11]
## GaAg2Sb2 (GGA-PBE)

Data for a relaxed GaAg2Sb2 crystal.

Cell lengths 4.609, 4.609, 12.190 Å; angles 90.00, 90.00, 90.00 degrees
Space group I4/mmm (No. 139)
Asymmetric unit:
Ga 0.000 0.000 0.000 (multiplicity 2)
Ag 0.000 0.500 0.250 (multiplicity 4)
Sb 0.000 0.000 0.385 (multiplicity 4)

## Properties
Formation energy from raw total energies in meV/atom: 148
E above lowest polymorph in eV/atom: 0.000
V in Å³ per atom: 25.90
Fermi-level density of states in states/eV per atom: 0.290



[12]
## Pr5Y3Se8 (GGA-PBE)

Data for a relaxed Pr5Y3Se8 crystal.

Cell lengths 8.3556, 8.3556, 20.8176 Å; angles 90.00, 90.00, 120.00 degrees
Space group R-3m (No. 166, hexagonal axes)
Asymmetric unit:
Pr 0.0000 0.0000 0.0000 (multiplicity 3)
Pr 0.0000 0.0000 0.5000 (multiplicity 3)
Pr 0.0000 0.5000 0.0000 (multiplicity 9)
Y 0.0000 0.5000 0.5000 (multiplicity 9)
Se 0.0000 0.0000 0.2444 (multiplicity 6)
Se 0.0076 0.5038 0.7539 (multiplicity 18)

## Properties
Formation energy from raw total energies in meV/atom: -1811
V in Å³ per atom: 26.22
Fermi-level density of states in states/eV per atom: 0.623



Q: Among the records above, which one has the highest V?
A: Ac6Rh2AuS3



Repeat the fourth record exactly.
## SrCr3Se (GGA-PBE)

Data for a relaxed SrCr3Se crystal.

Cell lengths 5.010, 5.010, 5.010 Å; angles 90.00, 90.00, 90.00 degrees
Space group Pm-3m (No. 221)
Asymmetric unit:
Sr 0.000 0.000 0.000 (multiplicity 1)
Cr 0.000 0.500 0.500 (multiplicity 3)
Se 0.500 0.500 0.500 (multiplicity 1)

## Properties
Formation energy from raw total energies in meV/atom: 652
E above lowest polymorph in eV/atom: 0.000
V in Å³ per atom: 25.14
Fermi-level density of states in states/eV per atom: 0.409



Q: V of number 3 (CdIn5Ga4)?
A: 23.51 Å³ per atom